# YSi2As, relaxed, DFT PBE
# Magnetic moment = 0.000 μB per atom
# Crystal system = orthorhombic
# Uncorrected formation energy = -0.195 eV/atom
# Volume = 19.41 A^3/atom
# VASP energy = -0.4178 Ry per atom
data_YSi2As
_space_group_name_H-M_alt 'C m m m'
_space_group_IT_number 65
_space_group_name_Hall '-C 2 2'
_cell_length_a 5.0727
_cell_length_b 5.2489
_cell_length_c 5.8314
_cell_angle_alpha 90.00
_cell_angle_beta 90.00
_cell_angle_gamma 90.00
loop_
_atom_site_label
_atom_site_fract_x
_atom_site_fract_y
_atom_site_fract_z
Y1 0.0000 0.0000 0.0000
Si1 0.0000 0.5000 0.2959
As1 0.0000 0.0000 0.5000